(1)
This record from Alexandria describes crystalline Sr2CeTe3 at its relaxed geometry. The functional is GGA-PBE.

Values from the calculation:
**Formation energy without anion corrections**: -1.56 eV/atom
**Total energy**: -4.6810 eV/atom
**Space-group type**: No. 71
**Energy above the lowest structure with this stoichiometry**: 0.003 eV/atom
**Total moment**: 1.42 μB per formula unit

Geometry as POSCAR:
```
Sr2CeTe3
1.0
4.638 0.000 0.000
0.000 6.594 0.000
-2.319 -3.297 7.040
Sr Ce Te
2 1 3
Direct
0.832 0.832 0.164
0.168 0.168 0.836
0.500 0.500 0.500
0.161 0.661 0.823
0.500 0.000 0.500
0.839 0.339 0.177
```

=====

(2)
This record from Alexandria describes crystalline Sr3Ce4Te8 at its relaxed geometry. The functional is GGA-PBE.

Values from the calculation:
**Formation energy without anion corrections**: -1.47 eV/atom
**Total energy**: -5.0632 eV/atom
**Space-group type**: No. 12
**Total moment**: 0.41 μB per formula unit

Geometry as POSCAR:
```
Sr3Ce4Te8
1.0
-6.543 -1.010 6.352
0.566 -5.999 -6.969
8.789 -1.687 2.186
Sr Te Ce
3 8 4
Direct
0.500 0.500 0.000
0.500 0.500 0.500
0.500 0.000 0.500
0.000 0.248 0.752
0.500 0.753 0.247
0.491 0.240 0.240
0.500 0.247 0.753
0.008 0.754 0.754
0.509 0.760 0.760
0.000 0.752 0.248
0.992 0.246 0.246
0.000 0.000 0.500
0.000 0.500 0.000
0.000 0.000 0.000
0.500 0.000 0.000
```